A geometry-optimized Pm2ScRu structure, computed with GGA-PBE.

size of the total moment = 1.4 μB/f.u.
space group = P4/mmm
formation enthalpy at 0 K = -11 kJ/mol of formula units
polymorph energy (0 for the lowest one) = 0.0 meV per atom

Geometry as POSCAR:
```
Pm2ScRu
1.0
3.516 0.000 0.000
0.000 3.516 0.000
0.000 0.000 8.371
Pm Sc Ru
2 1 1
Cartesian
0.000 0.000 1.706
0.000 0.000 6.665
1.758 1.758 4.186
1.758 1.758 0.000
```

=====

A geometry-optimized PmScSi2Ru structure, computed with GGA-PBE.

size of the total moment = 0.0 μB/f.u.
space group = I-4m2
ΔE_f (raw) = -794 meV/atom

Geometry as POSCAR:
```
PmScSi2Ru
1.0
-2.029 2.029 5.693
2.029 -2.029 5.693
2.029 2.029 -5.693
Pm Sc Si Ru
1 1 2 1
Cartesian
0.000 0.000 0.000
2.029 0.000 2.847
0.000 0.000 4.498
0.000 0.000 6.889
0.000 2.029 2.847
```

=====

A geometry-optimized PmSmScRu structure, computed with GGA-PBE.

size of the total moment = 0.0 μB/f.u.
space group = F-43m
formation enthalpy at 0 K = 26 kJ/mol of formula units

Geometry as POSCAR:
```
PmSmScRu
1.0
0.000 3.635 3.635
3.635 0.000 3.635
3.635 3.635 0.000
Pm Sm Sc Ru
1 1 1 1
Cartesian
0.000 0.000 0.000
3.635 3.635 3.635
5.452 5.452 5.452
1.817 1.817 1.817
```

=====

A geometry-optimized PmScSnRu structure, computed with GGA-PBE.

size of the total moment = 0.0 μB/f.u.
space group = F-43m
formation enthalpy at 0 K = -138 kJ/mol of formula units

Geometry as POSCAR:
```
PmScSnRu
1.0
0.000 3.540 3.540
3.540 0.000 3.540
3.540 3.540 0.000
Pm Sc Sn Ru
1 1 1 1
Cartesian
0.000 0.000 0.000
3.540 3.540 3.540
1.770 1.770 1.770
5.309 5.309 5.309
```

=====

A geometry-optimized Pm2ScU2Ru5 structure, computed with GGA-PBE.

size of the total moment = 0.0 μB/f.u.
space group = P4/mbm
formation enthalpy at 0 K = -231 kJ/mol of formula units

Geometry as POSCAR:
```
Pm2ScU2Ru5
1.0
10.758 0.000 0.000
0.000 10.758 0.000
0.000 0.000 3.442
Pm Sc U Ru
4 2 4 10
Cartesian
1.838 3.541 0.000
3.541 8.921 0.000
7.217 1.838 0.000
8.921 7.217 0.000
0.000 0.000 0.000
5.379 5.379 0.000
1.536 6.915 0.000
3.844 1.536 0.000
6.915 9.223 0.000
9.223 3.844 0.000
0.000 5.379 1.721
0.560 8.542 1.721
2.217 0.560 1.721
3.163 5.940 1.721
4.819 3.163 1.721
5.379 0.000 1.721
5.940 7.596 1.721
7.596 4.819 1.721
8.542 10.198 1.721
10.198 2.217 1.721
```

=====

A geometry-optimized Pm7RuSe5 structure, computed with GGA-PBE.

size of the total moment = 0.0 μB/f.u.
space group = Cmc2_1
ΔE_f (raw) = -1430 meV/atom

Geometry as POSCAR:
```
Pm7RuSe5
1.0
2.027 -6.933 0.000
2.027 6.933 0.000
0.000 0.000 25.104
Pm Ru Se
14 2 10
Cartesian
2.027 6.296 12.552
2.027 5.123 19.694
2.027 4.871 5.303
2.027 2.955 14.266
2.027 2.735 10.844
2.027 1.397 21.866
2.027 1.020 3.539
2.027 -1.020 16.091
2.027 -1.397 9.314
2.027 -2.735 23.396
2.027 -2.955 1.714
2.027 -4.871 17.855
2.027 -5.123 7.142
2.027 -6.296 0.000
2.027 2.609 24.822
2.027 -2.609 12.270
2.027 6.255 22.405
2.027 6.032 2.610
2.027 3.989 16.988
2.027 3.742 8.069
2.027 0.176 18.896
2.027 -0.176 6.344
2.027 -3.742 20.621
2.027 -3.989 4.436
2.027 -6.032 15.162
2.027 -6.255 9.853
```

=====

A geometry-optimized Pm2RuSe structure, computed with GGA-PBE.

size of the total moment = 0.0 μB/f.u.
space group = P4/mmm
ΔE_f (raw) = -878 meV/atom
polymorph energy (0 for the lowest one) = 0.0 meV per atom

Geometry as POSCAR:
```
Pm2RuSe
1.0
3.539 0.000 0.000
0.000 3.539 0.000
0.000 0.000 7.403
Pm Ru Se
2 1 1
Cartesian
0.000 0.000 1.738
0.000 0.000 5.665
1.769 1.769 0.000
1.769 1.769 3.702
```

=====

A geometry-optimized Pm5RuSe4 structure, computed with GGA-PBE.

size of the total moment = 0.0 μB/f.u.
space group = I4/m
ΔE_f (raw) = -1479 meV/atom

Geometry as POSCAR:
```
Pm5RuSe4
1.0
-4.704 4.704 2.999
4.704 -4.704 2.999
4.704 4.704 -2.999
Pm Ru Se
5 1 4
Cartesian
0.000 0.000 0.000
3.818 2.082 0.000
2.621 -0.886 2.999
2.082 5.589 0.000
0.886 2.621 2.999
0.000 0.000 2.999
6.536 0.881 0.000
0.881 2.871 0.000
3.823 1.833 2.999
-1.833 3.823 2.999
```

=====

What did the fourth record say?
A geometry-optimized PmScSnRu structure, computed with GGA-PBE.

size of the total moment = 0.0 μB/f.u.
space group = F-43m
formation enthalpy at 0 K = -138 kJ/mol of formula units

Geometry as POSCAR:
```
PmScSnRu
1.0
0.000 3.540 3.540
3.540 0.000 3.540
3.540 3.540 0.000
Pm Sc Sn Ru
1 1 1 1
Cartesian
0.000 0.000 0.000
3.540 3.540 3.540
1.770 1.770 1.770
5.309 5.309 5.309
```